1.
A plane-wave DFT calculation with PBE was carried out for crystalline CdIn2Tc at its relaxed geometry.

extended XYZ file:
```
4
Lattice="2.610 -1.729 3.694 4.132 2.180 1.274 0.251 2.475 4.155" Properties=species:S:1:pos:R:3 pbc="T T T"
Tc 0.000 0.000 0.000
Cd 1.748 0.731 2.281
In 3.496 1.463 4.561
In 5.245 2.194 6.842
```

E_tot in eV per cell: -14.5

---

2.
A plane-wave DFT calculation with PBE was carried out for crystalline HoB4Au at its relaxed geometry.

extended XYZ file:
```
6
Lattice="3.234 0.000 0.000 -1.617 2.800 0.000 0.000 0.000 7.225" Properties=species:S:1:pos:R:3 pbc="T T T"
Au 0.000 0.000 0.000
B 1.617 0.933 1.790
Ho 0.000 0.000 3.613
B 0.000 1.867 1.790
B 1.617 0.933 5.436
B 0.000 1.867 5.436
```

E_tot in eV per cell: -34.4
E above lowest polymorph in eV per atom: 0.1309

---

3.
A plane-wave DFT calculation with PBE was carried out for crystalline Ag9Bi at its relaxed geometry.

extended XYZ file:
```
20
Lattice="2.983 0.000 0.000 0.000 3.957 0.000 0.000 0.000 40.980" Properties=species:S:1:pos:R:3 pbc="T T T"
Ag 1.491 1.979 28.667
Bi 0.000 0.000 5.966
Ag 0.000 0.000 9.314
Ag 0.000 0.000 30.165
Ag 0.000 0.000 18.271
Ag 1.491 1.979 25.681
Ag 1.491 1.979 31.666
Ag 0.000 0.000 12.313
Ag 0.000 0.000 21.235
Ag 0.000 0.000 33.187
Ag 1.491 1.979 22.709
Ag 1.491 1.979 16.781
Ag 0.000 0.000 27.174
Ag 1.491 1.979 10.816
Ag 1.491 1.979 13.806
Bi 1.491 1.979 35.014
Ag 0.000 0.000 15.299
Ag 1.491 1.979 19.746
Ag 1.491 1.979 7.793
Ag 0.000 0.000 24.199
```

E_tot in eV per cell: -58.0
E above lowest polymorph in eV per atom: 0.0000

---

4.
A plane-wave DFT calculation with PBE was carried out for crystalline YMgTe3Au at its relaxed geometry.

extended XYZ file:
```
12
Lattice="-6.805 3.095 -0.677 -6.398 2.126 3.301 4.376 10.061 2.002" Properties=species:S:1:pos:R:3 pbc="T T T"
Y 0.000 0.000 0.000
Mg -7.289 11.725 3.602
Te -10.659 7.163 2.836
Mg -1.538 3.556 1.024
Te -6.713 7.806 2.589
Te -0.479 11.236 2.785
Y 2.188 5.030 1.001
Te 1.832 8.119 1.789
Au -5.820 5.249 1.874
Au -3.008 10.032 2.751
Te -8.348 4.045 1.840
Te -2.115 7.476 2.037
```

E_tot in eV per cell: -50.9
E above lowest polymorph in eV per atom: 0.0000

---

5.
A plane-wave DFT calculation with PBE was carried out for crystalline CdIr at its relaxed geometry.

extended XYZ file:
```
4
Lattice="4.441 0.000 0.000 -2.220 3.846 0.000 0.000 0.000 4.874" Properties=species:S:1:pos:R:3 pbc="T T T"
Cd 2.220 1.282 1.218
Cd 0.000 2.564 3.655
Ir 0.000 0.000 2.437
Ir 0.000 0.000 0.000
```

E_tot in eV per cell: -17.8
Energy relative to the elements in meV per atom: 417.1

---

6.
A plane-wave DFT calculation with PBE was carried out for crystalline MgCuBiIr at its relaxed geometry.

extended XYZ file:
```
4
Lattice="0.000 3.298 3.298 3.298 0.000 3.298 3.298 3.298 0.000" Properties=species:S:1:pos:R:3 pbc="T T T"
Mg 3.298 3.298 3.298
Cu 4.946 4.946 4.946
Ir 1.649 1.649 1.649
Bi 0.000 0.000 0.000
```

E_tot in eV per cell: -18.0
E above lowest polymorph in eV per atom: 0.0000

---

7.
A plane-wave DFT calculation with PBE was carried out for crystalline TbPuNi at its relaxed geometry.

extended XYZ file:
```
3
Lattice="-3.917 -0.008 -2.475 -3.222 3.242 0.753 -0.748 3.302 -3.163" Properties=species:S:1:pos:R:3 pbc="T T T"
Ni 0.000 0.000 0.000
Pu -5.915 4.902 -3.663
Tb -1.972 1.634 -1.221
```

E_tot in eV per cell: -24.3
E above lowest polymorph in eV per atom: 0.0000
Energy relative to the elements in meV per atom: 1.5

---

8.
A plane-wave DFT calculation with PBE was carried out for crystalline BiAu at its relaxed geometry.

extended XYZ file:
```
4
Lattice="4.176 0.000 0.000 0.000 4.330 0.000 -2.063 0.000 5.485" Properties=species:S:1:pos:R:3 pbc="T T T"
Au 2.123 1.082 4.493
Bi 0.032 3.247 3.933
Bi 2.081 1.082 1.552
Au -0.010 3.247 0.991
```

E_tot in eV per cell: -14.9

---

9.
A plane-wave DFT calculation with PBE was carried out for crystalline NpCl at its relaxed geometry.

extended XYZ file:
```
2
Lattice="-1.353 -1.037 -2.813 -1.109 -1.143 2.878 -3.037 3.435 0.194" Properties=species:S:1:pos:R:3 pbc="T T T"
Cl -3.549 1.503 -0.770
Np -1.949 -0.249 1.030
```

E_tot in eV per cell: -16.1

---

10.
A plane-wave DFT calculation with PBE was carried out for crystalline SrDyTe3Au at its relaxed geometry.

extended XYZ file:
```
12
Lattice="9.942 -2.177 0.000 9.942 2.177 0.000 -1.632 0.000 8.708" Properties=species:S:1:pos:R:3 pbc="T T T"
Sr 15.919 0.000 8.005
Dy 2.242 0.000 5.183
Te 12.294 0.000 7.395
Te 9.942 0.000 0.000
Au 8.444 0.000 2.512
Te 5.958 0.000 1.313
Sr 2.333 0.000 0.703
Te 12.868 0.000 3.143
Dy 16.009 0.000 3.525
Te -0.816 0.000 4.354
Te 5.383 0.000 5.565
Au 9.807 0.000 6.196
```

E_tot in eV per cell: -51.7

---

11.
A plane-wave DFT calculation with PBE was carried out for crystalline Tb6Zn23 at its relaxed geometry.

extended XYZ file:
```
29
Lattice="-6.331 6.331 0.000 6.331 0.000 -6.331 -6.331 -6.331 0.000" Properties=species:S:1:pos:R:3 pbc="T T T"
Tb -3.713 0.000 0.000
Zn -3.165 -3.165 0.000
Zn 3.165 0.000 -3.165
Zn -2.168 -2.168 -4.163
Tb -6.331 -2.617 0.000
Zn -2.168 4.163 -2.168
Zn -2.168 -4.163 -2.168
Zn -4.163 4.163 -4.163
Zn -4.775 1.556 -4.775
Zn -4.775 -1.556 -4.775
Zn -1.556 -4.775 -4.775
Zn -4.163 2.168 -2.168
Tb -8.948 0.000 0.000
Zn -3.165 0.000 -3.165
Zn 0.000 0.000 0.000
Zn -4.775 4.775 -1.556
Zn -1.556 -1.556 -1.556
Tb -6.331 2.617 0.000
Zn -1.556 1.556 -1.556
Zn -2.168 2.168 -4.163
Zn -4.775 -4.775 -1.556
Zn 0.000 3.165 -3.165
Zn 0.000 -3.165 -3.165
Zn -4.163 -4.163 -4.163
Tb -6.331 0.000 -2.617
Zn -3.165 3.165 0.000
Zn -4.163 -2.168 -2.168
Zn -1.556 4.775 -4.775
Tb 0.000 0.000 -3.713
```

E_tot in eV per cell: -66.0
Energy relative to the elements in meV per atom: -313.7

---

12.
A plane-wave DFT calculation with PBE was carried out for crystalline CuCl2 at its relaxed geometry.

extended XYZ file:
```
12
Lattice="-0.142 6.204 -1.176 -5.544 0.845 5.128 4.168 0.921 4.355" Properties=species:S:1:pos:R:3 pbc="T T T"
Cu -1.343 7.240 7.212
Cl -2.901 6.988 5.615
Cl -0.656 0.531 0.562
Cl -1.396 3.667 4.876
Cl -0.104 6.441 2.960
Cl -0.745 5.278 8.089
Cu -0.608 4.270 2.866
Cu 0.853 0.956 2.168
Cl 1.265 3.141 2.347
Cl 0.624 1.979 7.476
Cu 0.117 3.926 6.514
Cl -2.161 3.852 1.300
```

E_tot in eV per cell: -34.6

---

Which value of E_tot does entry 7 give?
-24.3 eV per cell